Record 1
Tm8Tc2Ru: relaxed, PBE.

Properties
Energy = -6.17 eV/atom
SG = C2/m
Formation energy from the elements = -18.2 kJ per mole of atoms
M_tot = 0.000 Bohr magnetons per cell

a b c (Å): 4.775 6.826 9.406
angles (deg): 115.57 104.70 90.00
Element x y z (fractional)
1 Tc 0.820 0.334 0.641
2 Tm 0.598 0.746 0.195
3 Tm 0.667 0.375 0.334
4 Tm 0.203 0.097 0.407
5 Tm 0.333 0.625 0.666
6 Tm 0.028 0.262 0.056
7 Ru 0.500 0.000 0.000
8 Tm 0.797 0.903 0.593
9 Tm 0.402 0.254 0.805
10 Tm 0.972 0.738 0.944
11 Tc 0.180 0.666 0.359

---

Record 2
YCdPdO4: relaxed, PBE.

Properties
Raw formation energy = -11.3 eV per formula unit
Energy = -6.24 eV/atom
SG = Imma
M_tot = 0.000 Bohr magnetons per cell

a b c (Å): 6.914 6.461 6.863
angles (deg): 122.08 90.00 122.35
Element x y z (fractional)
1 O 0.767 0.534 0.718
2 O 0.277 0.984 0.742
3 Pd 0.000 0.500 0.500
4 O 0.723 0.016 0.258
5 O 0.293 0.016 0.258
6 O 0.707 0.984 0.742
7 Cd 0.106 0.211 0.856
8 Cd 0.894 0.789 0.144
9 O 0.233 0.466 0.684
10 O 0.767 0.534 0.316
11 Pd 0.500 0.500 0.500
12 Y 0.500 0.000 0.000
13 O 0.233 0.466 0.282
14 Y 0.500 0.000 0.500

---

Record 3
PaSnPt3: relaxed, PBE.

Properties
Energy = -6.96 eV/atom
SG = P2/m
Formation energy from the elements = -61.0 kJ per mole of atoms
M_tot = 0.000 Bohr magnetons per cell

a b c (Å): 3.463 5.275 12.590
angles (deg): 108.81 90.00 90.00
Element x y z (fractional)
1 Sn 0.500 0.195 0.416
2 Pt 0.500 0.000 0.000
3 Pa 0.000 0.367 0.172
4 Sn 0.500 0.805 0.584
5 Pt 0.500 0.920 0.197
6 Pt 0.500 0.636 0.347
7 Pt 0.500 0.364 0.653
8 Pt 0.500 0.080 0.803
9 Pa 0.000 0.633 0.828
10 Pt 0.500 0.500 0.000

---

Record 4
Ca2LaScTa: relaxed, PBE.

Properties
Energy = -4.18 eV/atom
SG = P4/mmm
Formation energy from the elements = 120.1 kJ per mole of atoms
M_tot = 0.001 Bohr magnetons per cell

a b c (Å): 5.612 5.144 5.612
angles (deg): 90.00 90.00 90.00
Element x y z (fractional)
1 Ca 0.000 0.000 0.500
2 Ca 0.500 0.000 0.000
3 La 0.000 0.000 0.000
4 Ta 0.000 0.500 0.000
5 Sc 0.500 0.500 0.500